1.
The following is a GGA-PBE calculation of DyBiRuRh after structural relaxation, from the Alexandria database.

Lattice parameters (Å, degrees): 4.7740 4.7740 4.7740 60.00 60.00 60.00
With the nearest neighbours (Å) after each atom.
Positions (direct):
1 Ru 0.7500 0.7500 0.7500  4 Dy 2.92, 4 Bi 2.92
2 Rh 0.2500 0.2500 0.2500  4 Bi 2.92, 4 Dy 2.92
3 Bi 0.0000 0.0000 0.0000  4 Ru 2.92, 4 Rh 2.92
4 Dy 0.5000 0.5000 0.5000  4 Rh 2.92, 4 Ru 2.92

Summary:
DFT total energy = -6.5987 eV per atom
V = 19.2 Å³ per atom
symmetry = F-43m (216)



2.
The following is a GGA-PBE calculation of AcCuH6Rh after structural relaxation, from the Alexandria database.

Lattice parameters (Å, degrees): 4.7498 4.7498 4.5600 90.00 90.00 60.00
With the nearest neighbours (Å) after each atom.
Positions (direct):
1 Ac 0.0000 0.0000 0.0000  12 H 2.65
2 Cu 0.6667 0.6667 0.5000  6 H 1.78
3 H 0.0063 0.4967 0.2599  1 Rh 1.73, 1 Cu 1.78
4 H 0.4967 0.0063 0.7401  1 Rh 1.73, 1 Cu 1.78
5 H 0.4969 0.4967 0.7401  1 Rh 1.73, 1 Cu 1.78
6 H 0.0063 0.4970 0.7401  1 Rh 1.73, 1 Cu 1.78
7 H 0.4967 0.4970 0.2599  1 Rh 1.73, 1 Cu 1.78
8 H 0.4969 0.0063 0.2599  1 Rh 1.73, 1 Cu 1.78
9 Rh 0.3333 0.3333 0.5000  6 H 1.73

Summary:
DFT total energy = -4.3334 eV per atom
V = 9.9 Å³ per atom
symmetry = P-6m2 (187)



3.
The following is a GGA-PBE calculation of Li2NiOs after structural relaxation, from the Alexandria database.

Lattice parameters (Å, degrees): 4.4022 4.4022 2.5070 90.00 90.00 90.00
With the nearest neighbours (Å) after each atom.
Positions (direct):
1 Li 0.0000 0.0000 0.0000  2 Li 2.51, 4 Os 2.53, 4 Ni 2.53
2 Li 0.5000 0.5000 0.0000  2 Li 2.51, 4 Ni 2.53, 4 Os 2.53
3 Ni 0.5000 0.0000 0.5000  2 Ni 2.51, 8 Li 2.53
4 Os 0.0000 0.5000 0.5000  2 Os 2.51, 8 Li 2.53

Summary:
DFT total energy = -4.7590 eV per atom
V = 12.1 Å³ per atom
symmetry = P4/mmm (123)



4.
The following is a GGA-PBE calculation of RbBaMn2Cl8 after structural relaxation, from the Alexandria database.

Lattice parameters (Å, degrees): 6.8584 6.8584 10.2127 90.00 90.00 120.00
With the nearest neighbours (Å) after each atom.
Positions (direct):
1 Rb 0.0000 0.0000 0.0000  12 Cl 3.83-3.96
2 Ba 0.0000 0.0000 0.5000  6 Cl 3.09
3 Mn 0.6667 0.3333 0.2324  4 Cl 2.22-2.31
4 Mn 0.3333 0.6667 0.7676  4 Cl 2.22-2.31
5 Cl 0.3333 0.6667 0.9846  1 Mn 2.22
6 Cl 0.3435 0.3301 0.2987  1 Mn 2.31
7 Cl 0.6699 0.0134 0.2987  1 Mn 2.31
8 Cl 0.6667 0.3333 0.0154  1 Mn 2.22
9 Cl 0.3301 0.9866 0.7013  1 Mn 2.31
10 Cl 0.6565 0.6699 0.7013  1 Mn 2.31
11 Cl 0.0134 0.3435 0.7013  1 Mn 2.31
12 Cl 0.9866 0.6565 0.2987  1 Mn 2.31

Summary:
V = 34.7 Å³ per atom
formation energy from raw total energies = -1.501 eV per atom
symmetry = P-3 (147)



5.
The following is a GGA-PBE calculation of Tb5Te4N after structural relaxation, from the Alexandria database.

Lattice parameters (Å, degrees): 4.1747 4.1747 15.7713 97.61 97.61 90.00
With the nearest neighbours (Å) after each atom.
Positions (direct):
1 Tb 0.0722 0.0722 0.1443  1 N 2.24
2 Tb 0.5000 0.5000 0.0000  4 N 2.95, 2 Te 3.09
3 Tb 0.9278 0.9278 0.8557  1 N 2.24
4 Tb 0.2888 0.2888 0.5776  5 Te 3.04-3.12
5 Tb 0.7112 0.7112 0.4224  5 Te 3.04-3.12
6 Te 0.4001 0.4001 0.8002  5 Tb 3.07-3.09
7 Te 0.8120 0.8120 0.6240  5 Tb 3.04-3.12
8 Te 0.1880 0.1880 0.3760  5 Tb 3.04-3.12
9 Te 0.5999 0.5999 0.1998  5 Tb 3.07-3.09
10 N 0.0000 0.0000 0.0000  2 Tb 2.24

Summary:
V = 27.0 Å³ per atom
formation energy from raw total energies = -1.283 eV per atom
symmetry = I4/mmm (139)



6.
The following is a GGA-PBE calculation of Dy3CoPb after structural relaxation, from the Alexandria database.

Lattice parameters (Å, degrees): 5.1427 5.1427 5.1427 90.00 90.00 90.00
With the nearest neighbours (Å) after each atom.
Positions (direct):
1 Pb 0.5000 0.5000 0.5000  12 Dy 3.64
2 Co 0.0000 0.0000 0.0000  6 Dy 2.57
3 Dy 0.0000 0.5000 0.0000  2 Co 2.57
4 Dy 0.0000 0.0000 0.5000  2 Co 2.57
5 Dy 0.5000 0.0000 0.0000  2 Co 2.57

Summary:
DFT total energy = -5.1827 eV per atom
V = 27.2 Å³ per atom
symmetry = Pm-3m (221)



7.
The following is a GGA-PBE calculation of Cs2KTl after structural relaxation, from the Alexandria database.

Lattice parameters (Å, degrees): 8.6214 11.1761 13.1044 115.41 90.00 90.00
With the nearest neighbours (Å) after each atom.
Positions (direct):
1 Cs 0.7504 0.0830 0.1695  2 Tl 4.22-4.23, 2 K 4.51
2 Cs 0.2504 0.4170 0.8305  2 Tl 4.22-4.23, 2 K 4.51
3 Cs 0.2496 0.9170 0.8305  2 Tl 4.22-4.23, 2 K 4.51
4 Cs 0.7496 0.5830 0.1695  2 Tl 4.22-4.23, 2 K 4.51
5 Cs 0.7266 0.6437 0.7836  2 Tl 4.06-4.28
6 Cs 0.2266 0.8563 0.2164  2 Tl 4.06-4.28
7 Cs 0.2734 0.3563 0.2164  2 Tl 4.06-4.28
8 Cs 0.7734 0.1437 0.7836  2 Tl 4.06-4.28
9 K 0.4996 0.1921 0.4997  4 Tl 3.76-3.84
10 K 0.9996 0.3079 0.5003  4 Tl 3.76-3.84
11 K 0.5004 0.8079 0.5003  4 Tl 3.76-3.84
12 K 0.0004 0.6921 0.4997  4 Tl 3.76-3.84
13 Tl 0.6456 0.4627 0.4266  1 Tl 3.05
14 Tl 0.1456 0.0373 0.5734  1 Tl 3.05
15 Tl 0.3544 0.5373 0.5734  1 Tl 3.05
16 Tl 0.8544 0.9627 0.4266  1 Tl 3.05

Summary:
DFT total energy = -1.3402 eV per atom
V = 71.3 Å³ per atom
symmetry = P2_1/c (14)



8.
The following is a GGA-PBE calculation of TlVBiI6 after structural relaxation, from the Alexandria database.

Lattice parameters (Å, degrees): 7.7385 7.7385 7.6232 90.00 90.00 60.00
With the nearest neighbours (Å) after each atom.
Positions (direct):
1 Tl 0.0000 0.0000 0.0000  6 I 3.56
2 V 0.6666 0.6667 0.5000  6 I 2.85
3 Bi 0.3333 0.3333 0.5000  6 I 3.11
4 I 0.9739 0.3813 0.2784  1 V 2.85, 1 Bi 3.11
5 I 0.3813 0.9739 0.7216  1 V 2.85, 1 Bi 3.11
6 I 0.6447 0.3814 0.7216  1 V 2.85, 1 Bi 3.11
7 I 0.9738 0.6448 0.7216  1 V 2.85, 1 Bi 3.11
8 I 0.3813 0.6448 0.2784  1 V 2.85, 1 Bi 3.11
9 I 0.6448 0.9738 0.2784  1 V 2.85, 1 Bi 3.11

Summary:
V = 43.9 Å³ per atom
formation energy from raw total energies = -0.479 eV per atom
symmetry = P312 (149)



9.
The following is a GGA-PBE calculation of ReRu2Rh2 after structural relaxation, from the Alexandria database.

Lattice parameters (Å, degrees): 4.0769 4.8066 4.8066 69.91 64.91 64.91
With the nearest neighbours (Å) after each atom.
Positions (direct):
1 Re 0.0000 0.0000 0.0000  4 Ru 2.56
2 Ru 0.5000 0.7178 0.2822  1 Ru 2.40, 2 Re 2.56, 2 Rh 2.60
3 Ru 0.5000 0.2822 0.7178  1 Ru 2.40, 2 Re 2.56, 2 Rh 2.60
4 Rh 0.8088 0.6912 0.6912  1 Rh 2.58, 6 Ru 2.60-2.69
5 Rh 0.1912 0.3088 0.3088  1 Rh 2.58, 6 Ru 2.60-2.69

Summary:
DFT total energy = -8.7380 eV per atom
V = 15.1 Å³ per atom
symmetry = Immm (71)



10.
The following is a GGA-PBE calculation of Ba5SrHg4 after structural relaxation, from the Alexandria database.

Lattice parameters (Å, degrees): 4.2328 4.2328 23.1675 90.00 90.00 90.00
With the nearest neighbours (Å) after each atom.
Positions (direct):
1 Ba 0.5000 0.5000 0.1409  4 Hg 3.57
2 Ba 0.5000 0.5000 0.3187  8 Hg 3.65-3.70
3 Ba 0.5000 0.5000 0.5000  8 Hg 3.66
4 Ba 0.5000 0.5000 0.6813  8 Hg 3.65-3.70
5 Ba 0.5000 0.5000 0.8591  4 Hg 3.57
6 Sr 0.0000 0.0000 0.0000  4 Sr 4.23, 8 Ba 4.43
7 Hg 0.0000 0.0000 0.2246  8 Ba 3.57-3.70
8 Hg 0.0000 0.0000 0.4091  8 Ba 3.65-3.66
9 Hg 0.0000 0.0000 0.5909  8 Ba 3.65-3.66
10 Hg 0.0000 0.0000 0.7754  8 Ba 3.57-3.70

Summary:
DFT total energy = -1.6713 eV per atom
V = 41.5 Å³ per atom
symmetry = P4/mmm (123)



11.
The following is a GGA-PBE calculation of PrNd4Y3 after structural relaxation, from the Alexandria database.

Lattice parameters (Å, degrees): 6.3834 7.3943 11.7272 90.00 90.00 90.00
With the nearest neighbours (Å) after each atom.
Positions (direct):
1 Pr 0.1460 0.3733 0.0000  6 Y 3.62-3.69, 6 Nd 3.63-3.72
2 Pr 0.6460 0.6267 0.5000  6 Y 3.62-3.69, 6 Nd 3.63-3.72
3 Nd 0.1459 0.8729 0.0000  6 Nd 3.60-3.75, 4 Y 3.62-3.69, 2 Pr 3.69-3.70
4 Nd 0.6539 0.1270 0.0000  6 Nd 3.61-3.75, 2 Pr 3.63-3.72, 4 Y 3.64-3.73
5 Nd 0.9805 0.1244 0.2533  6 Nd 3.60-3.68, 5 Y 3.60-3.71, 1 Pr 3.65
6 Nd 0.4805 0.8756 0.2467  6 Nd 3.60-3.68, 5 Y 3.60-3.71, 1 Pr 3.65
7 Nd 0.1539 0.8730 0.5000  6 Nd 3.61-3.75, 2 Pr 3.63-3.72, 4 Y 3.64-3.73
8 Nd 0.6459 0.1271 0.5000  6 Nd 3.60-3.75, 4 Y 3.62-3.69, 2 Pr 3.69-3.70
9 Nd 0.4805 0.8756 0.7533  6 Nd 3.60-3.68, 5 Y 3.60-3.71, 1 Pr 3.65
10 Nd 0.9805 0.1244 0.7467  6 Nd 3.60-3.68, 5 Y 3.60-3.71, 1 Pr 3.65
11 Y 0.6459 0.6232 0.0000  6 Nd 3.60-3.73, 4 Y 3.61-3.63, 2 Pr 3.69
12 Y 0.9813 0.6228 0.2500  4 Y 3.61-3.67, 2 Pr 3.62-3.63, 6 Nd 3.62-3.71
13 Y 0.4813 0.3772 0.2500  4 Y 3.61-3.67, 2 Pr 3.62-3.63, 6 Nd 3.62-3.71
14 Y 0.1459 0.3768 0.5000  6 Nd 3.60-3.73, 4 Y 3.61-3.63, 2 Pr 3.69
15 Y 0.4813 0.3772 0.7500  4 Y 3.61-3.67, 2 Pr 3.62-3.63, 6 Nd 3.62-3.71
16 Y 0.9813 0.6228 0.7500  4 Y 3.61-3.67, 2 Pr 3.62-3.63, 6 Nd 3.62-3.71

Summary:
DFT total energy = -5.3813 eV per atom
V = 34.6 Å³ per atom
symmetry = Pmn2_1 (31)



12.
The following is a GGA-PBE calculation of NbTlGaHg2 after structural relaxation, from the Alexandria database.

Lattice parameters (Å, degrees): 5.5142 5.0722 5.5142 90.00 90.00 90.00
With the nearest neighbours (Å) after each atom.
Positions (direct):
1 Tl 0.5000 0.5000 0.5000  8 Hg 3.75, 4 Ga 3.90
2 Ga 0.0000 0.5000 0.0000  2 Nb 2.54
3 Hg 0.0000 0.0000 0.5000  2 Nb 2.76
4 Hg 0.5000 0.0000 0.0000  2 Nb 2.76
5 Nb 0.0000 0.0000 0.0000  2 Ga 2.54, 4 Hg 2.76

Summary:
DFT total energy = -2.6631 eV per atom
V = 30.8 Å³ per atom
symmetry = P4/mmm (123)



Q: The highest V belongs to which entry?
A: Cs2KTl